Record 1
AlCu2Si, optimized geometry, DFT GGA-PBE; E_form (uncorrected) = 0.051 eV per atom; Fermi-level density of states = 0.197 states/eV per atom; space group = P-6m2
1.0
2.7791 0.0107 0.0000
-1.3985 2.4017 0.0000
0.0000 0.0000 8.0511
Si Al Cu
1 1 2
Direct
0.0000 0.0000 0.5000
0.0001 0.9999 0.0000
0.3333 0.6667 0.7462
0.3333 0.6667 0.2538

***

Record 2
AlCuSi2, optimized geometry, DFT GGA-PBE; E_form (uncorrected) = 0.201 eV per atom; Fermi-level density of states = 0.268 states/eV per atom; space group = R-3m
1.0
9.2883 0.0746 0.0438
8.8799 2.7251 0.0438
8.8799 1.3684 2.3570
Si Cu Al
2 1 1
Direct
0.4926 0.4926 0.4926
0.0074 0.0074 0.0074
0.7500 0.7500 0.7500
0.2500 0.2500 0.2500

***

Record 3
AlCu2Si2, optimized geometry, DFT GGA-PBE; E_form (uncorrected) = 0.063 eV per atom; Fermi-level density of states = 0.220 states/eV per atom; space group = C2/c
1.0
-0.0831 -4.1767 -3.4869
1.0178 -0.5925 -5.3126
6.9828 -3.2551 -2.1797
Cu Al Si
4 2 4
Direct
0.6239 0.8663 0.8531
0.1337 0.3761 0.6469
0.8663 0.6239 0.3531
0.3761 0.1337 0.1469
0.5845 0.4155 0.7500
0.4155 0.5845 0.2500
0.0181 0.7687 0.9984
0.9819 0.2313 0.0016
0.7687 0.0181 0.4984
0.2313 0.9819 0.5016

***

Record 4
Al3Cu2Si3, optimized geometry, DFT GGA-PBE; E_form (uncorrected) = 0.147 eV per atom; Fermi-level density of states = 0.364 states/eV per atom; space group = P6_3/mcm; relative energy among the computed polymorphs = 0.080 eV/atom
1.0
7.5570 0.0000 0.0000
-3.7785 6.5445 0.0000
0.0000 0.0000 4.7801
Al Si Cu
6 6 4
Direct
0.2196 0.2196 0.7500
0.7803 0.0000 0.7500
0.0000 0.2197 0.2500
0.7804 0.7804 0.2500
0.2197 0.0000 0.2500
0.0000 0.7803 0.7500
0.5817 0.5817 0.7500
0.4183 0.0000 0.7500
0.0000 0.5817 0.2500
0.0000 0.4183 0.7500
0.5817 0.0000 0.2500
0.4183 0.4183 0.2500
0.6667 0.3333 0.5000
0.6667 0.3333 0.0000
0.3333 0.6667 0.0000
0.3333 0.6667 0.5000